(1)
DFT (GGA-PBE) results for a geometry-optimized SrP2PdCl structure.

The value obtained for the raw formation energy is -430 meV/atom. For the total energy, the calculation gives -4.338 eV per atom.

The structure in CIF format:
```
data_SrP2PdCl
_cell_length_a 4.5383
_cell_length_b 4.5383
_cell_length_c 6.1753
_cell_angle_alpha 90.00
_cell_angle_beta 90.00
_cell_angle_gamma 90.00
_symmetry_space_group_name_H-M 'P 4/m m m'
_symmetry_Int_Tables_number 123
_symmetry_space_group_name_Hall '-P 4 2'
loop_
_atom_site_label
_atom_site_fract_x
_atom_site_fract_y
_atom_site_fract_z
_atom_site_occupancy
Sr1 0.0000 0.0000 0.0000 1
P1 0.0000 0.5000 0.5000 1
Pd1 0.5000 0.5000 0.5000 1
Cl1 0.5000 0.5000 0.0000 1
```

(2)
DFT (GGA-PBE) results for a geometry-optimized SrPPdCl2 structure.

The value obtained for the raw formation energy is -763 meV/atom. For the total energy, the calculation gives -3.958 eV per atom.

The structure in CIF format:
```
data_SrPPdCl2
_cell_length_a 5.0238
_cell_length_b 5.0238
_cell_length_c 4.7325
_cell_angle_alpha 90.00
_cell_angle_beta 90.00
_cell_angle_gamma 90.00
_symmetry_space_group_name_H-M 'P 4/m m m'
_symmetry_Int_Tables_number 123
_symmetry_space_group_name_Hall '-P 4 2'
loop_
_atom_site_label
_atom_site_fract_x
_atom_site_fract_y
_atom_site_fract_z
_atom_site_occupancy
Sr1 0.0000 0.0000 0.0000 1
P1 0.5000 0.5000 0.0000 1
Pd1 0.5000 0.5000 0.5000 1
Cl1 0.0000 0.5000 0.5000 1
```

(3)
DFT (GGA-PBE) results for a geometry-optimized SrPPdCl2 structure.

The value obtained for the raw formation energy is -51 meV/atom. For the total energy, the calculation gives -3.246 eV per atom.

The structure in CIF format:
```
data_SrPPdCl2
_cell_length_a 5.4945
_cell_length_b 5.4945
_cell_length_c 6.1909
_cell_angle_alpha 90.00
_cell_angle_beta 90.00
_cell_angle_gamma 90.00
_symmetry_space_group_name_H-M 'P 4/m m m'
_symmetry_Int_Tables_number 123
_symmetry_space_group_name_Hall '-P 4 2'
loop_
_atom_site_label
_atom_site_fract_x
_atom_site_fract_y
_atom_site_fract_z
_atom_site_occupancy
Sr1 0.0000 0.0000 0.0000 1
P1 0.0000 0.0000 0.5000 1
Pd1 0.5000 0.5000 0.5000 1
Cl1 0.0000 0.5000 0.0000 1
```

(4)
DFT (GGA-PBE) results for a geometry-optimized TaPPdCl2 structure.

The value obtained for the raw formation energy is 845 meV/atom. For the total energy, the calculation gives -4.385 eV per atom.

The structure in CIF format:
```
data_TaPPdCl2
_cell_length_a 4.6342
_cell_length_b 4.6342
_cell_length_c 4.9036
_cell_angle_alpha 90.00
_cell_angle_beta 90.00
_cell_angle_gamma 90.00
_symmetry_space_group_name_H-M 'P 4/m m m'
_symmetry_Int_Tables_number 123
_symmetry_space_group_name_Hall '-P 4 2'
loop_
_atom_site_label
_atom_site_fract_x
_atom_site_fract_y
_atom_site_fract_z
_atom_site_occupancy
Ta1 0.0000 0.0000 0.0000 1
P1 0.5000 0.5000 0.0000 1
Pd1 0.5000 0.5000 0.5000 1
Cl1 0.0000 0.5000 0.5000 1
```

(5)
DFT (GGA-PBE) results for a geometry-optimized TaPPdCl2 structure.

The value obtained for the raw formation energy is 118 meV/atom. For the total energy, the calculation gives -5.112 eV per atom.

The structure in CIF format:
```
data_TaPPdCl2
_cell_length_a 4.7479
_cell_length_b 4.7479
_cell_length_c 4.9581
_cell_angle_alpha 90.00
_cell_angle_beta 90.00
_cell_angle_gamma 90.00
_symmetry_space_group_name_H-M 'P 4/m m m'
_symmetry_Int_Tables_number 123
_symmetry_space_group_name_Hall '-P 4 2'
loop_
_atom_site_label
_atom_site_fract_x
_atom_site_fract_y
_atom_site_fract_z
_atom_site_occupancy
Ta1 0.0000 0.0000 0.0000 1
P1 0.0000 0.0000 0.5000 1
Pd1 0.5000 0.5000 0.5000 1
Cl1 0.0000 0.5000 0.0000 1
```

(6)
DFT (GGA-PBE) results for a geometry-optimized TcP2PdCl structure.

The value obtained for the raw formation energy is 1031 meV/atom. For the total energy, the calculation gives -4.614 eV per atom.

The structure in CIF format:
```
data_TcP2PdCl
_cell_length_a 4.6708
_cell_length_b 4.6708
_cell_length_c 4.7954
_cell_angle_alpha 90.00
_cell_angle_beta 90.00
_cell_angle_gamma 90.00
_symmetry_space_group_name_H-M 'P 4/m m m'
_symmetry_Int_Tables_number 123
_symmetry_space_group_name_Hall '-P 4 2'
loop_
_atom_site_label
_atom_site_fract_x
_atom_site_fract_y
_atom_site_fract_z
_atom_site_occupancy
Tc1 0.0000 0.0000 0.0000 1
P1 0.0000 0.5000 0.5000 1
Pd1 0.5000 0.5000 0.5000 1
Cl1 0.5000 0.5000 0.0000 1
```

(7)
DFT (GGA-PBE) results for a geometry-optimized TcPPdCl2 structure.

The value obtained for the raw formation energy is 452 meV/atom. For the total energy, the calculation gives -4.481 eV per atom.

The structure in CIF format:
```
data_TcPPdCl2
_cell_length_a 4.8407
_cell_length_b 4.8407
_cell_length_c 4.5857
_cell_angle_alpha 90.00
_cell_angle_beta 90.00
_cell_angle_gamma 90.00
_symmetry_space_group_name_H-M 'P 4/m m m'
_symmetry_Int_Tables_number 123
_symmetry_space_group_name_Hall '-P 4 2'
loop_
_atom_site_label
_atom_site_fract_x
_atom_site_fract_y
_atom_site_fract_z
_atom_site_occupancy
Tc1 0.0000 0.0000 0.0000 1
P1 0.0000 0.0000 0.5000 1
Pd1 0.5000 0.5000 0.5000 1
Cl1 0.0000 0.5000 0.0000 1
```

(8)
DFT (GGA-PBE) results for a geometry-optimized TcP2PdCl structure.

The value obtained for the raw formation energy is 518 meV/atom. For the total energy, the calculation gives -5.127 eV per atom.

The structure in CIF format:
```
data_TcP2PdCl
_cell_length_a 4.5136
_cell_length_b 4.5136
_cell_length_c 5.0300
_cell_angle_alpha 90.00
_cell_angle_beta 90.00
_cell_angle_gamma 90.00
_symmetry_space_group_name_H-M 'P 4/m m m'
_symmetry_Int_Tables_number 123
_symmetry_space_group_name_Hall '-P 4 2'
loop_
_atom_site_label
_atom_site_fract_x
_atom_site_fract_y
_atom_site_fract_z
_atom_site_occupancy
Tc1 0.0000 0.0000 0.0000 1
P1 0.0000 0.5000 0.0000 1
Pd1 0.5000 0.5000 0.5000 1
Cl1 0.0000 0.0000 0.5000 1
```

(9)
DFT (GGA-PBE) results for a geometry-optimized TcPPdCl2 structure.

The value obtained for the raw formation energy is 770 meV/atom. For the total energy, the calculation gives -4.162 eV per atom.

The structure in CIF format:
```
data_TcPPdCl2
_cell_length_a 4.7640
_cell_length_b 4.7640
_cell_length_c 4.8744
_cell_angle_alpha 90.00
_cell_angle_beta 90.00
_cell_angle_gamma 90.00
_symmetry_space_group_name_H-M 'P 4/m m m'
_symmetry_Int_Tables_number 123
_symmetry_space_group_name_Hall '-P 4 2'
loop_
_atom_site_label
_atom_site_fract_x
_atom_site_fract_y
_atom_site_fract_z
_atom_site_occupancy
Tc1 0.0000 0.0000 0.0000 1
P1 0.5000 0.5000 0.0000 1
Pd1 0.5000 0.5000 0.5000 1
Cl1 0.0000 0.5000 0.5000 1
```

(10)
DFT (GGA-PBE) results for a geometry-optimized TePPdCl2 structure.

The value obtained for the raw formation energy is 241 meV/atom. For the total energy, the calculation gives -3.247 eV per atom.

The structure in CIF format:
```
data_TePPdCl2
_cell_length_a 4.7748
_cell_length_b 4.7748
_cell_length_c 4.8946
_cell_angle_alpha 90.00
_cell_angle_beta 90.00
_cell_angle_gamma 90.00
_symmetry_space_group_name_H-M 'P 4/m m m'
_symmetry_Int_Tables_number 123
_symmetry_space_group_name_Hall '-P 4 2'
loop_
_atom_site_label
_atom_site_fract_x
_atom_site_fract_y
_atom_site_fract_z
_atom_site_occupancy
Te1 0.0000 0.0000 0.0000 1
P1 0.5000 0.5000 0.0000 1
Pd1 0.5000 0.5000 0.5000 1
Cl1 0.0000 0.5000 0.5000 1
```

(11)
DFT (GGA-PBE) results for a geometry-optimized TePPdCl2 structure.

The value obtained for the raw formation energy is 710 meV/atom. For the total energy, the calculation gives -2.778 eV per atom.

The structure in CIF format:
```
data_TePPdCl2
_cell_length_a 5.3312
_cell_length_b 5.3312
_cell_length_c 5.0595
_cell_angle_alpha 90.00
_cell_angle_beta 90.00
_cell_angle_gamma 90.00
_symmetry_space_group_name_H-M 'P 4/m m m'
_symmetry_Int_Tables_number 123
_symmetry_space_group_name_Hall '-P 4 2'
loop_
_atom_site_label
_atom_site_fract_x
_atom_site_fract_y
_atom_site_fract_z
_atom_site_occupancy
Te1 0.0000 0.0000 0.0000 1
P1 0.0000 0.0000 0.5000 1
Pd1 0.5000 0.5000 0.5000 1
Cl1 0.0000 0.5000 0.0000 1
```

(12)
DFT (GGA-PBE) results for a geometry-optimized TeP2PdCl structure.

The value obtained for the raw formation energy is 468 meV/atom. For the total energy, the calculation gives -3.732 eV per atom.

The structure in CIF format:
```
data_TeP2PdCl
_cell_length_a 4.7720
_cell_length_b 4.7720
_cell_length_c 4.7215
_cell_angle_alpha 90.00
_cell_angle_beta 90.00
_cell_angle_gamma 90.00
_symmetry_space_group_name_H-M 'P 4/m m m'
_symmetry_Int_Tables_number 123
_symmetry_space_group_name_Hall '-P 4 2'
loop_
_atom_site_label
_atom_site_fract_x
_atom_site_fract_y
_atom_site_fract_z
_atom_site_occupancy
Te1 0.0000 0.0000 0.0000 1
P1 0.0000 0.5000 0.5000 1
Pd1 0.5000 0.5000 0.5000 1
Cl1 0.5000 0.5000 0.0000 1
```

| no. | E above lowest polymorph (eV/atom) |
| --- | --- |
| 1 | 0.000 |
| 2 | 0.000 |
| 3 | 0.712 |
| 4 | 0.727 |
| 5 | 0.000 |
| 6 | 0.513 |
| 7 | 0.000 |
| 8 | 0.000 |
| 9 | 0.318 |
| 10 | 0.000 |
| 11 | 0.469 |
| 12 | 0.000 |